1.
{
  "formula": "NiOsCl2",
  "functional": "SCAN",
  "state": "single point on PBEsol structure",
  "polymorph_energy_mev_per_atom": 151,
  "formation_energy_uncorrected_ev_per_atom": 0.599,
  "space_group": "Pmm2, No. 25",
  "lattice": [[2.8408, 0.0000, 0.0000], [0.0000, 3.8838, 0.0000], [0.0000, 0.0000, 6.4084]],
  "species": ["Ni", "Os", "Cl", "Cl"],
  "fractional_positions": [[0.0000, 0.0000, 0.0000], [0.5000, 0.5000, 0.0907], [0.0000, 0.0000, 0.3321], [0.5000, 0.5000, 0.7359]]
}


2.
{
  "formula": "YNbAg2Se",
  "functional": "SCAN",
  "state": "single point on PBEsol structure",
  "formation_energy_uncorrected_ev_per_atom": 0.359,
  "space_group": "P4/mmm, No. 123",
  "lattice": [[4.8582, 0.0000, 0.0000], [0.0000, 4.8582, 0.0000], [0.0000, 0.0000, 4.8408]],
  "species": ["Y", "Nb", "Ag", "Ag", "Se"],
  "fractional_positions": [[0.0000, 0.0000, 0.0000], [0.5000, 0.5000, 0.0000], [0.0000, 0.5000, 0.5000], [0.5000, 0.0000, 0.5000], [0.5000, 0.5000, 0.5000]]
}